Below is a crystal of Ba4Sm7Si12BN27 relaxed with PBEsol, with properties calculated at the meta-GGA SCAN level.

Summary:
* space group: P-6 (174)
* size of the total moment: 0.000 Bohr magnetons per cell
* uncorrected formation energy: -1.5236 eV per atom

Cell lengths 5.4054, 12.1669, 12.1669 Å; angles 120.00, 90.00, 90.00 degrees
Fractional coordinates of all 51 atoms:
Si: 0.0000 0.2650 0.7600
Si: 0.5000 0.3202 0.1954
Si: 0.0000 0.6930 0.1992
Si: 0.0000 0.5062 0.3070
Si: 0.5000 0.1881 0.8796
Si: 0.5000 0.8046 0.1248
Si: 0.0000 0.8008 0.4938
Si: 0.0000 0.4950 0.7350
Si: 0.5000 0.8752 0.6798
Si: 0.0000 0.2400 0.5050
Si: 0.5000 0.1204 0.3084
Si: 0.5000 0.6916 0.8119
N: 0.2446 0.4043 0.2778
N: 0.5000 0.2890 0.0413
N: 0.5000 0.0241 0.8210
N: 0.0000 0.4009 0.5740
N: 0.0000 0.4260 0.8269
N: 0.0000 0.8888 0.8717
N: 0.5000 0.1790 0.2031
N: 0.2396 0.1752 0.3979
N: 0.7554 0.8735 0.5957
N: 0.7604 0.6021 0.7774
N: 0.5000 0.7969 0.9759
N: 0.0000 0.8128 0.3596
N: 0.7554 0.4043 0.2778
N: 0.7604 0.1752 0.3979
N: 0.7554 0.7222 0.1265
N: 0.0000 0.1283 0.0171
N: 0.0000 0.5469 0.1872
N: 0.2396 0.2226 0.8248
N: 0.5000 0.9587 0.2477
N: 0.5000 0.7523 0.7110
N: 0.0000 0.1731 0.5991
N: 0.2446 0.8735 0.5957
N: 0.0000 0.9829 0.1112
N: 0.2446 0.7222 0.1265
N: 0.0000 0.6404 0.4531
N: 0.2396 0.6021 0.7774
N: 0.7604 0.2226 0.8248
Ba: 0.5000 0.4881 0.9212
Ba: 0.5000 0.0788 0.5669
Ba: 0.5000 0.6667 0.3333
Ba: 0.5000 0.4331 0.5119
Sm: 0.0000 0.9700 0.2919
Sm: 0.0000 0.7563 0.9739
Sm: 0.0000 0.2176 0.2437
Sm: 0.0000 0.7081 0.6781
Sm: 0.0000 0.3219 0.0300
Sm: 0.5000 0.0000 0.0000
Sm: 0.0000 0.0261 0.7824
B: 0.0000 0.0000 0.0000

Below is a crystal of Be2InAsCl relaxed with PBEsol, with properties calculated at the meta-GGA SCAN level.

Summary:
* space group: P4/mmm (123)
* size of the total moment: 0.002 Bohr magnetons per cell
* uncorrected formation energy: 0.9895 eV per atom

Cell lengths 4.5219, 4.5219, 5.4012 Å; angles 90.00, 90.00, 90.00 degrees
Fractional coordinates of all 5 atoms:
As: 0.5000 0.5000 0.5000
Be: 0.5000 0.0000 0.0000
Be: 0.0000 0.5000 0.0000
Cl: 0.0000 0.0000 0.5000
In: 0.0000 0.0000 0.0000

Below is a crystal of ZnCu2Au relaxed with PBEsol, with properties calculated at the meta-GGA SCAN level.

Summary:
* space group: Imm2 (44)
* calculated formation energy: -0.15 eV/atom
* size of the total moment: 0.000 Bohr magnetons per cell

Cell lengths 3.7984, 3.7451, 4.5896 Å; angles 114.08, 114.44, 90.00 degrees
Fractional coordinates of all 4 atoms:
Zn: 0.5008 0.5008 0.0015
Au: 0.2500 0.7500 0.5000
Cu: 0.7501 0.2501 0.5002
Cu: 0.9991 0.9991 0.9983

Below is a crystal of LaNdNi10 relaxed with PBEsol, with properties calculated at the meta-GGA SCAN level.

Summary:
* space group: Pmmm (47)
* calculated formation energy: -0.25 eV/atom
* size of the total moment: 3.753 Bohr magnetons per cell

Cell lengths 3.9114, 4.8902, 8.4715 Å; angles 90.00, 90.00, 90.00 degrees
Fractional coordinates of all 12 atoms:
Ni: 0.5000 0.7486 0.7478
Ni: 0.0000 0.0000 0.3334
Ni: 0.5000 0.2514 0.2522
Ni: 0.0000 0.0000 0.6666
Ni: 0.5000 0.0000 0.5000
Ni: 0.5000 0.2514 0.7478
Ni: 0.5000 0.7486 0.2522
Ni: 0.5000 0.5000 0.0000
Ni: 0.0000 0.5000 0.1670
Ni: 0.0000 0.5000 0.8330
La: 0.0000 0.0000 0.0000
Nd: 0.0000 0.5000 0.5000